1.
Entry from Alexandria: crystalline Tb6Ge2Te3As at its relaxed geometry (PBE).

Summary:
The electronic total energy comes out at -5.58 eV per atom. The value obtained for the calculated density is 7.76 Mg/m³.

Lattice parameters (Å, degrees): 18.750 4.249 8.632 90.00 104.47 90.00
Space group C2/m (No. 12)
Symmetry-distinct sites (fractional):
Tb 0.008 0.000 0.236 (multiplicity 4)
Tb 0.161 0.500 0.101 (multiplicity 4)
Tb 0.173 0.500 0.567 (multiplicity 4)
Ge 0.166 0.000 0.332 (multiplicity 4)
Te 0.000 0.500 0.500 (multiplicity 2)
Te 0.165 0.000 0.834 (multiplicity 4)
As 0.000 0.500 0.000 (multiplicity 2)

=====

2.
Entry from Alexandria: crystalline Tb4GeTe2As at its relaxed geometry (PBE).

Summary:
The electronic total energy comes out at -5.63 eV per atom. The value obtained for the calculated density is 7.80 Mg/m³.

Lattice parameters (Å, degrees): 7.348 4.243 7.497 90.00 109.03 90.00
Space group P2/m (No. 10)
Symmetry-distinct sites (fractional):
Tb 0.238 0.000 0.221 (multiplicity 2)
Tb 0.257 0.500 0.780 (multiplicity 2)
Ge 0.000 0.500 0.000 (multiplicity 1)
Te 0.000 0.000 0.500 (multiplicity 1)
Te 0.500 0.500 0.500 (multiplicity 1)
As 0.500 0.000 0.000 (multiplicity 1)

=====

3.
Entry from Alexandria: crystalline TcGeAs at its relaxed geometry (PBE).

Summary:
The electronic total energy comes out at -6.68 eV per atom. The value obtained for the calculated density is 8.18 Mg/m³.

Lattice parameters (Å, degrees): 9.053 3.181 7.392 90.00 110.49 90.00
Space group Cm (No. 8)
Symmetry-distinct sites (fractional):
Tc 0.000 0.000 0.000 (multiplicity 2)
Tc 0.248 0.500 0.592 (multiplicity 2)
Ge 0.493 0.000 0.695 (multiplicity 2)
Ge 0.497 0.000 0.274 (multiplicity 2)
As 0.243 0.000 0.323 (multiplicity 2)
As 0.262 0.000 0.892 (multiplicity 2)

=====

4.
Entry from Alexandria: crystalline Tc2Ge4As at its relaxed geometry (PBE).

Summary:
The electronic total energy comes out at -5.35 eV per atom. The value obtained for the calculated density is 6.07 Mg/m³.

Lattice parameters (Å, degrees): 4.957 4.957 12.495 90.00 90.00 90.00
Space group I4/mmm (No. 139)
Symmetry-distinct sites (fractional):
Tc 0.000 0.000 0.096 (multiplicity 4)
Ge 0.000 0.000 0.290 (multiplicity 4)
Ge 0.000 0.500 0.000 (multiplicity 4)
As 0.000 0.000 0.500 (multiplicity 2)

=====

Spin magnetization per entry: 0.00, 0.00, 0.00, 4.92 μB/cell